A geometry-optimized MgZr4SnC2 structure, computed with PBE.

Geometry as POSCAR:
```
MgZr4SnC2
1.0
3.3628 0.0000 0.0000
-1.6814 2.9122 0.0000
0.0000 0.0000 15.2792
Zr Sn C Mg
4 1 2 1
direct
0.0000 0.0000 0.6604
0.0000 0.0000 0.3396
0.6667 0.3333 0.1761
0.6667 0.3333 0.8239
0.6667 0.3333 0.5000
0.3333 0.6667 0.7428
0.3333 0.6667 0.2572
0.0000 0.0000 0.0000
```

## Properties
As for the volume: 18.70 A^3/atom. As for the calculated total energy: -7.889 eV/atom.